! KNiF3, relaxed, DFT PBE+U; values from VASP
! * density: 3.301 g/cm³
! * V: 155.7 Å³ per cell
! * raw total energy: -38.4 eV per cell
&SYSTEM
  ibrav = 0, nat = 10, ntyp = 3
/
ATOMIC_SPECIES
K 39.10 K.upf
F 19.00 F.upf
Ni 58.69 Ni.upf
CELL_PARAMETERS angstrom
4.796 0.000 0.000
0.000 4.796 0.000
2.398 2.398 6.770
ATOMIC_POSITIONS crystal
K 0.638 0.138 0.725
K 0.862 0.362 0.275
F 0.154 0.896 0.209
F 0.637 0.896 0.209
F 0.281 0.281 0.438
F 0.719 0.719 0.562
F 0.104 0.363 0.791
F 0.104 0.846 0.791
Ni 0.250 0.750 0.500
Ni 0.000 0.000 0.000